(1)
First-principles (GGA-PBE) data for a geometry-optimized CaBe2P2 structure, as listed in the Alexandria database.

abc: 6.5770 6.5770 6.5770
angles: 148.21 148.21 45.57
With the nearest neighbours (Å) after each atom.
Fractional coordinates of all 5 atoms:
Ca 0.0000 0.0000 0.0000  8 P 3.08
Be 0.2500 0.7500 0.5000  4 P 2.22
Be 0.7500 0.2500 0.5000  4 P 2.22
P 0.3565 0.3565 0.0000  4 Be 2.22
P 0.6435 0.6435 0.0000  4 Be 2.22

Summary:
The calculation puts the formation energy at -3.38 eV per formula unit.

---

(2)
First-principles (GGA-PBE) data for a geometry-optimized Cs9Rb3Pt2 structure, as listed in the Alexandria database.

abc: 13.3887 13.3887 13.3887
angles: 83.66 83.66 83.66
With the nearest neighbours (Å) after each atom.
Fractional coordinates of all 28 atoms:
Cs 0.0638 0.7462 0.9128  1 Pt 3.31
Cs 0.0872 0.9362 0.2538  1 Pt 3.31
Cs 0.1082 0.2500 0.3918  2 Pt 3.45
Cs 0.2462 0.5638 0.4128  1 Pt 3.31
Cs 0.2500 0.3918 0.1082  2 Pt 3.45
Cs 0.2538 0.0872 0.9362  1 Pt 3.31
Cs 0.3918 0.1082 0.2500  2 Pt 3.45
Cs 0.4128 0.2462 0.5638  1 Pt 3.31
Cs 0.4362 0.5872 0.7538  1 Pt 3.31
Cs 0.5638 0.4128 0.2462  1 Pt 3.31
Cs 0.5872 0.7538 0.4362  1 Pt 3.31
Cs 0.6082 0.8918 0.7500  2 Pt 3.45
Cs 0.7462 0.9128 0.0638  1 Pt 3.31
Cs 0.7500 0.6082 0.8918  2 Pt 3.45
Cs 0.7538 0.4362 0.5872  1 Pt 3.31
Cs 0.8918 0.7500 0.6082  2 Pt 3.45
Cs 0.9128 0.0638 0.7462  1 Pt 3.31
Cs 0.9362 0.2538 0.0872  1 Pt 3.31
Rb 0.0923 0.4077 0.7500  12 Cs 5.08-5.43
Rb 0.2500 0.9077 0.5923  12 Cs 5.08-5.43
Rb 0.4077 0.7500 0.0923  12 Cs 5.08-5.43
Rb 0.5923 0.2500 0.9077  12 Cs 5.08-5.43
Rb 0.7500 0.0923 0.4077  12 Cs 5.08-5.43
Rb 0.9077 0.5923 0.2500  12 Cs 5.08-5.43
Pt 0.1586 0.1586 0.1586  6 Cs 3.31-3.45
Pt 0.3414 0.3414 0.3414  6 Cs 3.31-3.45
Pt 0.6586 0.6586 0.6586  6 Cs 3.31-3.45
Pt 0.8414 0.8414 0.8414  6 Cs 3.31-3.45

Summary:
The calculation puts the formation energy at -0.28 eV per formula unit.

---

(3)
First-principles (GGA-PBE) data for a geometry-optimized NbTcMo4 structure, as listed in the Alexandria database.

abc: 4.8396 4.8396 9.0032
angles: 90.00 90.00 112.47
With the nearest neighbours (Å) after each atom.
Fractional coordinates of all 12 atoms:
Nb 0.0000 0.5000 0.0000  10 Mo 2.70-3.01
Nb 0.5000 0.0000 0.5000  10 Mo 2.70-3.01
Tc 0.0000 0.0000 0.2500  10 Mo 2.69-3.00
Tc 0.0000 0.0000 0.7500  10 Mo 2.69-3.00
Mo 0.1606 0.3328 0.5000  3 Mo 2.64-2.71, 2 Tc 2.70, 1 Nb 2.70
Mo 0.3328 0.1606 0.0000  3 Mo 2.64-2.71, 2 Tc 2.70, 1 Nb 2.70
Mo 0.3340 0.6660 0.2500  3 Mo 2.67-2.71, 1 Tc 2.69, 2 Nb 2.71
Mo 0.3340 0.6660 0.7500  3 Mo 2.67-2.71, 1 Tc 2.69, 2 Nb 2.71
Mo 0.6660 0.3340 0.2500  3 Mo 2.67-2.71, 1 Tc 2.69, 2 Nb 2.71
Mo 0.6660 0.3340 0.7500  3 Mo 2.67-2.71, 1 Tc 2.69, 2 Nb 2.71
Mo 0.6672 0.8394 0.0000  3 Mo 2.64-2.71, 2 Tc 2.70, 1 Nb 2.70
Mo 0.8394 0.6672 0.5000  3 Mo 2.64-2.71, 2 Tc 2.70, 1 Nb 2.70

Summary:
The calculation puts the formation energy at 0.97 eV per formula unit.

---

(4)
First-principles (GGA-PBE) data for a geometry-optimized CrB2Br2 structure, as listed in the Alexandria database.

abc: 6.1106 6.1106 4.4182
angles: 90.00 90.00 90.00
With the nearest neighbours (Å) after each atom.
Fractional coordinates of all 10 atoms:
Cr 0.0000 0.0000 0.0000  4 B 2.16
Cr 0.5000 0.5000 0.0000  4 B 2.16
B 0.2402 0.2598 0.0000  2 Cr 2.16, 2 Br 2.23
B 0.2598 0.7598 0.0000  2 Cr 2.16, 2 Br 2.23
B 0.7402 0.2402 0.0000  2 Cr 2.16, 2 Br 2.23
B 0.7598 0.7402 0.0000  2 Cr 2.16, 2 Br 2.23
Br 0.2018 0.2982 0.5000  2 B 2.23
Br 0.2982 0.7982 0.5000  2 B 2.23
Br 0.7018 0.2018 0.5000  2 B 2.23
Br 0.7982 0.7018 0.5000  2 B 2.23

Summary:
The formation energy (no corrections) is 1.3185 eV/atom.